(1)
VASP calculation (PBE-GGA) on an optimized crystal structure of K2Pb2Br7.

Calculated values
Total DFT energy (no corrections) ... -32.9 eV for the cell shown
Formation energy from raw total energies ... -1.05 eV/atom

```
11
Lattice="-1.916 3.781 1.592 0.600 -1.058 9.675 7.463 4.782 4.066" Properties=species:S:1:pos:R:3 pbc="T T T"
Br 4.690 6.818 8.772
Br 4.233 3.050 4.292
Br 1.216 3.143 6.879
K 4.352 5.172 12.275
K 0.725 1.423 3.932
Pb 3.835 4.401 7.044
Pb 1.992 0.127 8.538
Br 3.482 3.130 9.637
Br 7.147 4.539 10.703
Br -0.231 0.941 10.367
Br 0.890 4.575 3.085
```



(2)
VASP calculation (PBE-GGA) on an optimized crystal structure of KPbBr2.

Calculated values
Total DFT energy (no corrections) ... -11.8 eV for the cell shown
Formation energy from raw total energies ... -0.90 eV/atom

```
4
Lattice="-7.599 0.580 -1.108 -6.797 -1.905 3.079 -6.413 3.014 3.017" Properties=species:S:1:pos:R:3 pbc="T T T"
K -10.294 0.835 2.467
Br -1.495 0.121 0.358
Pb -13.933 1.131 3.340
Br -5.492 0.446 1.316
```



(3)
VASP calculation (PBE-GGA) on an optimized crystal structure of KPb3Br7.

Calculated values
Total DFT energy (no corrections) ... -35.3 eV for the cell shown
Formation energy from raw total energies ... -1.04 eV/atom

```
11
Lattice="7.501 -0.492 -1.223 -1.392 7.315 -0.604 -0.591 -0.455 7.434" Properties=species:S:1:pos:R:3 pbc="T T T"
K 2.759 3.184 2.803
Br 1.617 -0.101 4.249
Br 1.373 0.957 0.788
Pb -1.208 5.530 1.242
Pb -0.775 1.330 5.587
Br 1.155 4.381 -0.388
Br 4.363 1.987 5.994
Br -0.992 3.430 3.415
Br 4.145 5.411 4.818
Br 3.901 6.469 1.357
Pb 3.751 -0.246 -0.612
```



Question: The highest formation energy from raw total energies belongs to which entry?
Answer: KPbBr2